Record 1
First-principles (GGA-PBE) data for Dy3Ge after structural relaxation, as listed in Alexandria.

Cell: 4.004 4.004 7.508 Å, 90.00 90.00 90.00°
Atoms (fractional coordinates):
Ge 0.000 0.000 0.083
Dy 0.000 0.500 0.437
Dy 0.500 0.500 0.083
Dy 0.500 0.000 0.730

Output
Symmetry: P-4m2, No. 115
ΔE_f: -0.149 eV/atom
DOS at the Fermi energy: 4.72 states/eV/f.u.

***

Record 2
First-principles (GGA-PBE) data for RbCd3C after structural relaxation, as listed in Alexandria.

Cell: 5.053 5.053 5.053 Å, 90.00 90.00 90.00°
Atoms (fractional coordinates):
C 0.000 0.000 0.000
Rb 0.500 0.500 0.500
Cd 0.000 0.500 0.000
Cd 0.000 0.000 0.500
Cd 0.500 0.000 0.000

Output
Symmetry: Pm-3m, No. 221
ΔE_f: 0.845 eV/atom
DOS at the Fermi energy: 3.15 states/eV/f.u.